A plane-wave DFT calculation with GGA-PBE was carried out for a relaxed AlTe3H crystal.

DOS(E_F): 6.2 states/eV per cell
energy relative to the lowest polymorph listed for this composition: 0.123 eV per atom
final energy: -2.615 eV/atom
space group: Pm-3m (221)

abc: 5.385 5.385 5.385
angles: 90.00 90.00 90.00
Site moments in Bohr magnetons follow the coordinates.
Sites, in units of the cell vectors:
H  0.500  0.500  0.500  0.36
Te  0.000  0.500  0.000  0.01
Te  0.000  0.000  0.500  0.01
Te  0.500  0.000  0.000  0.01
Al  0.000  0.000  0.000  0.00